(1)
{
  "formula": "ScNiGe",
  "functional": "GGA-PBE",
  "state": "relaxed",
  "lattice": [[5.7234, 0.0000, 0.0000], [-2.8617, 4.9567, 0.0000], [0.0000, 0.0000, 10.6195]],
  "species": ["Sc", "Sc", "Sc", "Sc", "Sc", "Sc", "Ni", "Ni", "Ni", "Ni", "Ni", "Ni", "Ge", "Ge", "Ge", "Ge", "Ge", "Ge"],
  "frac_coords": [[0.0000, 0.0000, 0.0000], [0.0000, 0.0000, 0.3333], [0.0000, 0.0000, 0.6667], [0.0000, 0.5000, 0.1667], [0.5000, 0.0000, 0.5000], [0.5000, 0.5000, 0.8333], [0.2358, 0.6179, 0.6667], [0.3821, 0.6179, 0.3333], [0.3821, 0.7642, 0.0000], [0.6179, 0.2358, 0.0000], [0.6179, 0.3821, 0.3333], [0.7642, 0.3821, 0.6667], [0.0000, 0.5000, 0.4634], [0.0000, 0.5000, 0.8699], [0.5000, 0.0000, 0.2032], [0.5000, 0.0000, 0.7968], [0.5000, 0.5000, 0.1301], [0.5000, 0.5000, 0.5366]],
  "delta_e_f_ev_per_atom": -0.476,
  "spacegroup": "No. 180",
  "total_energy_ev_per_atom": -6.053
}

(2)
{
  "formula": "Ti2Nb4V",
  "functional": "GGA-PBE",
  "state": "relaxed",
  "lattice": [[2.8036, 0.0000, 0.0000], [-0.6515, 7.0747, 0.0000], [-0.9923, -3.4781, 6.1752]],
  "species": ["Ti", "Ti", "Nb", "Nb", "Nb", "Nb", "V"],
  "frac_coords": [[0.0302, 0.3586, 0.0846], [0.9698, 0.6414, 0.9154], [0.2481, 0.2269, 0.6503], [0.4889, 0.0819, 0.2201], [0.5111, 0.9181, 0.7799], [0.7519, 0.7731, 0.3497], [0.5000, 0.5000, 0.5000]],
  "delta_e_f_ev_per_atom": 0.101,
  "spacegroup": "No. 2",
  "total_energy_ev_per_atom": -9.212
}